# 1
KSrAsF6 | GGA-PBE | relaxed

Lattice parameters (Å, degrees): 6.138 6.138 5.349 90.01 90.00 59.98
Atoms (fractional coordinates):
1 K 0.000 0.000 0.000
2 Sr 0.667 0.667 0.500
3 As 0.333 0.333 0.500
4 F 0.042 0.345 0.288
5 F 0.345 0.042 0.711
6 F 0.613 0.345 0.712
7 F 0.042 0.613 0.712
8 F 0.345 0.613 0.288
9 F 0.613 0.042 0.288

Computed properties:
- energy (eV for the cell shown) = -44.09
- DOS at the Fermi energy (states/eV per cell) = 0.000

# 2
KTl2AsF6 | GGA-PBE | relaxed

Lattice parameters (Å, degrees): 6.569 6.549 6.603 120.35 119.88 90.03
Atoms (fractional coordinates):
1 K 0.508 0.523 0.016
2 Tl 0.759 0.273 0.516
3 Tl 0.278 0.837 0.556
4 As 0.000 0.999 0.999
5 F 0.740 0.776 0.922
6 F 0.853 0.779 0.596
7 F 0.320 0.179 0.032
8 F 0.714 0.180 0.856
9 F 0.144 0.180 0.472
10 F 0.183 0.777 0.034

Computed properties:
- energy (eV for the cell shown) = -43.07
- DOS at the Fermi energy (states/eV per cell) = 0.000

# 3
K2TlAsF6 | GGA-PBE | relaxed

Lattice parameters (Å, degrees): 6.677 6.900 6.518 58.80 57.92 55.91
Atoms (fractional coordinates):
1 K 0.563 0.541 0.353
2 K 0.051 0.055 0.880
3 Tl 0.808 0.820 0.576
4 As 0.322 0.322 0.047
5 F 0.558 0.244 0.216
6 F 0.166 0.938 0.270
7 F 0.005 0.560 0.238
8 F 0.399 0.598 0.826
9 F 0.648 0.157 0.794
10 F 0.142 0.427 0.817

Computed properties:
- energy relative to the lowest polymorph listed for this composition (meV/atom) = 0
- energy (eV for the cell shown) = -43.89
- DOS at the Fermi energy (states/eV per cell) = 0.000

# 4
KTlAsF6 | GGA-PBE | relaxed

Lattice parameters (Å, degrees): 6.306 6.306 5.330 90.02 89.98 59.92
Each line ends with the local moment (μB).
Atoms (fractional coordinates):
1 K 0.666 0.666 0.500  0.00
2 Tl 0.000 0.000 0.000  0.02
3 As 0.333 0.333 0.500  0.26
4 F 0.083 0.330 0.295  0.10
5 F 0.330 0.083 0.705  0.10
6 F 0.587 0.331 0.706  0.10
7 F 0.082 0.587 0.705  0.10
8 F 0.331 0.587 0.294  0.10
9 F 0.587 0.082 0.295  0.10

Computed properties:
- energy (eV for the cell shown) = -39.02
- DOS at the Fermi energy (states/eV per cell) = 1.712

# 5
K2TlAsF6 | GGA-PBE | relaxed

Lattice parameters (Å, degrees): 6.623 6.623 6.623 60.00 60.00 60.00
Atoms (fractional coordinates):
1 K 0.750 0.750 0.750
2 K 0.250 0.250 0.250
3 Tl 0.500 0.500 0.500
4 As 0.000 0.000 0.000
5 F 0.780 0.220 0.220
6 F 0.220 0.220 0.780
7 F 0.220 0.780 0.780
8 F 0.220 0.780 0.220
9 F 0.780 0.220 0.780
10 F 0.780 0.780 0.220

Computed properties:
- energy relative to the lowest polymorph listed for this composition (meV/atom) = 64
- energy (eV for the cell shown) = -43.25
- DOS at the Fermi energy (states/eV per cell) = 0.000